Here is a geometry-optimized PaH2F5 structure from Alexandria via LeMat-Bulk. Energies are from PBE-GGA.

CIF file:
```
data_PaH2F5
_chemical_formula_sum 'Pa2 H4 F10'
_symmetry_space_group_name_H-M 'P 1'
_symmetry_Int_Tables_number 1
_symmetry_space_group_name_Hall 'P 1'
_cell_length_a 7.662
_cell_length_b 7.662
_cell_length_c 8.955
_cell_angle_alpha 90.00
_cell_angle_beta 90.00
_cell_angle_gamma 145.22
loop_
_atom_site_label
_atom_site_type_symbol
_atom_site_fract_x
_atom_site_fract_y
_atom_site_fract_z
_atom_site_occupancy
Pa1 Pa 0.192 0.808 0.750 1
Pa2 Pa 0.808 0.192 0.250 1
H1 H 0.087 0.913 0.208 1
H2 H 0.087 0.913 0.292 1
H3 H 0.913 0.087 0.708 1
H4 H 0.913 0.087 0.792 1
F1 F 0.093 0.907 0.589 1
F2 F 0.093 0.907 0.911 1
F3 F 0.292 0.708 0.588 1
F4 F 0.292 0.708 0.912 1
F5 F 0.309 0.691 0.250 1
F6 F 0.691 0.309 0.750 1
F7 F 0.708 0.292 0.088 1
F8 F 0.708 0.292 0.412 1
F9 F 0.907 0.093 0.089 1
F10 F 0.907 0.093 0.411 1
```

Summary:
The calculation puts the uncorrected energy at -96.32 eV/cell. As for the space group: Cmcm.

=====

Here is a geometry-optimized InOs2Pt structure from Alexandria via LeMat-Bulk. Energies are from PBE-GGA.

CIF file:
```
data_InOs2Pt
_chemical_formula_sum 'In1 Os2 Pt1'
_symmetry_space_group_name_H-M 'P 1'
_symmetry_Int_Tables_number 1
_symmetry_space_group_name_Hall 'P 1'
_cell_length_a 4.873
_cell_length_b 4.873
_cell_length_c 4.873
_cell_angle_alpha 131.45
_cell_angle_beta 131.45
_cell_angle_gamma 71.10
loop_
_atom_site_label
_atom_site_type_symbol
_atom_site_fract_x
_atom_site_fract_y
_atom_site_fract_z
_atom_site_occupancy
In1 In 0.000 0.000 0.000 1
Os1 Os 0.250 0.750 0.500 1
Os2 Os 0.750 0.250 0.500 1
Pt1 Pt 0.500 0.500 0.000 1
```

Summary:
As for the space group: I4/mmm. For the formation energy, the calculation gives 440 meV per atom.

=====

Here is a geometry-optimized MgP2ClF structure from Alexandria via LeMat-Bulk. Energies are from PBE-GGA.

CIF file:
```
data_MgP2ClF
_chemical_formula_sum 'Mg1 P2 Cl1 F1'
_symmetry_space_group_name_H-M 'P 1'
_symmetry_Int_Tables_number 1
_symmetry_space_group_name_Hall 'P 1'
_cell_length_a 4.917
_cell_length_b 4.917
_cell_length_c 4.701
_cell_angle_alpha 90.00
_cell_angle_beta 90.00
_cell_angle_gamma 90.00
loop_
_atom_site_label
_atom_site_type_symbol
_atom_site_fract_x
_atom_site_fract_y
_atom_site_fract_z
_atom_site_occupancy
Mg1 Mg 0.000 0.000 0.000 1
P1 P 0.000 0.500 0.000 1
P2 P 0.500 0.000 0.000 1
Cl1 Cl 0.000 0.000 0.500 1
F1 F 0.500 0.500 0.500 1
```

Summary:
For the formation energy from raw total energies, the calculation gives 0.38 eV/atom. As for the space group: P4/mmm.

=====

Here is a geometry-optimized ZnFeCl2 structure from Alexandria via LeMat-Bulk. Energies are from PBE-GGA.

CIF file:
```
data_ZnFeCl2
_chemical_formula_sum 'Zn1 Fe1 Cl2'
_symmetry_space_group_name_H-M 'P 1'
_symmetry_Int_Tables_number 1
_symmetry_space_group_name_Hall 'P 1'
_cell_length_a 3.460
_cell_length_b 3.275
_cell_length_c 9.349
_cell_angle_alpha 90.00
_cell_angle_beta 94.59
_cell_angle_gamma 90.00
loop_
_atom_site_label
_atom_site_type_symbol
_atom_site_fract_x
_atom_site_fract_y
_atom_site_fract_z
_atom_site_occupancy
Zn1 Zn 0.000 0.000 0.000 1
Fe1 Fe 0.500 0.000 0.500 1
Cl1 Cl 0.433 0.500 0.675 1
Cl2 Cl 0.567 0.500 0.325 1
```

Summary:
For the formation energy from raw total energies, the calculation gives -0.20 eV/atom. As for the space group: P2/m.

=====

Here is a geometry-optimized Ba3As2Cl structure from Alexandria via LeMat-Bulk. Energies are from PBE-GGA.

CIF file:
```
data_Ba3As2Cl
_chemical_formula_sum 'Ba6 As4 Cl2'
_symmetry_space_group_name_H-M 'P 1'
_symmetry_Int_Tables_number 1
_symmetry_space_group_name_Hall 'P 1'
_cell_length_a 8.525
_cell_length_b 8.525
_cell_length_c 7.730
_cell_angle_alpha 90.00
_cell_angle_beta 90.00
_cell_angle_gamma 59.99
loop_
_atom_site_label
_atom_site_type_symbol
_atom_site_fract_x
_atom_site_fract_y
_atom_site_fract_z
_atom_site_occupancy
Ba1 Ba 0.135 0.500 0.250 1
Ba2 Ba 0.136 0.864 0.750 1
Ba3 Ba 0.500 0.135 0.750 1
Ba4 Ba 0.500 0.865 0.250 1
Ba5 Ba 0.864 0.136 0.250 1
Ba6 Ba 0.865 0.500 0.750 1
As1 As 0.167 0.167 0.000 1
As2 As 0.167 0.167 0.500 1
As3 As 0.833 0.833 0.000 1
As4 As 0.833 0.833 0.500 1
Cl1 Cl 0.500 0.500 0.250 1
Cl2 Cl 0.500 0.500 0.750 1
```

Summary:
For the formation energy from raw total energies, the calculation gives -1.37 eV/atom. As for the space group: Cmcm.

=====

Here is a geometry-optimized BaTiIn structure from Alexandria via LeMat-Bulk. Energies are from PBE-GGA.

CIF file:
```
data_BaTiIn
_chemical_formula_sum 'Ba1 Ti1 In1'
_symmetry_space_group_name_H-M 'P 1'
_symmetry_Int_Tables_number 1
_symmetry_space_group_name_Hall 'P 1'
_cell_length_a 3.369
_cell_length_b 6.388
_cell_length_c 6.388
_cell_angle_alpha 41.34
_cell_angle_beta 90.00
_cell_angle_gamma 90.00
loop_
_atom_site_label
_atom_site_type_symbol
_atom_site_fract_x
_atom_site_fract_y
_atom_site_fract_z
_atom_site_occupancy
Ba1 Ba 0.000 0.000 0.000 1
Ti1 Ti 0.000 0.724 0.724 1
In1 In 0.500 0.288 0.288 1
```

Summary:
As for the space group: Amm2. For the formation energy, the calculation gives 191 meV per atom.

=====

Here is a geometry-optimized Ba7TlRh2Br2 structure from Alexandria via LeMat-Bulk. Energies are from PBE-GGA.

CIF file:
```
data_Ba7TlRh2Br2
_chemical_formula_sum 'Ba7 Tl1 Rh2 Br2'
_symmetry_space_group_name_H-M 'P 1'
_symmetry_Int_Tables_number 1
_symmetry_space_group_name_Hall 'P 1'
_cell_length_a 15.406
_cell_length_b 15.406
_cell_length_c 15.406
_cell_angle_alpha 157.06
_cell_angle_beta 32.66
_cell_angle_gamma 157.06
loop_
_atom_site_label
_atom_site_type_symbol
_atom_site_fract_x
_atom_site_fract_y
_atom_site_fract_z
_atom_site_occupancy
Ba1 Ba 0.000 0.000 0.000 1
Ba2 Ba 0.081 0.495 0.586 1
Ba3 Ba 0.203 0.998 0.204 1
Ba4 Ba 0.412 0.497 0.914 1
Ba5 Ba 0.583 0.497 0.086 1
Ba6 Ba 0.794 0.998 0.796 1
Ba7 Ba 0.910 0.495 0.414 1
Tl1 Tl 0.491 0.991 0.500 1
Rh1 Rh 0.103 0.997 0.107 1
Rh2 Rh 0.890 0.997 0.893 1
Br1 Br 0.248 0.498 0.750 1
Br2 Br 0.748 0.498 0.250 1
```

Summary:
For the formation energy from raw total energies, the calculation gives -0.68 eV/atom. As for the space group: Imm2.

=====

Here is a geometry-optimized Ta3Nb2H5 structure from Alexandria via LeMat-Bulk. Energies are from PBE-GGA.

CIF file:
```
data_Ta3Nb2H5
_chemical_formula_sum 'Ta6 Nb4 H10'
_symmetry_space_group_name_H-M 'P 1'
_symmetry_Int_Tables_number 1
_symmetry_space_group_name_Hall 'P 1'
_cell_length_a 7.162
_cell_length_b 7.162
_cell_length_c 7.162
_cell_angle_alpha 119.39
_cell_angle_beta 78.23
_cell_angle_gamma 135.51
loop_
_atom_site_label
_atom_site_type_symbol
_atom_site_fract_x
_atom_site_fract_y
_atom_site_fract_z
_atom_site_occupancy
Ta1 Ta 0.077 0.652 0.729 1
Ta2 Ta 0.250 0.250 0.000 1
Ta3 Ta 0.423 0.152 0.575 1
Ta4 Ta 0.577 0.848 0.425 1
Ta5 Ta 0.750 0.750 0.000 1
Ta6 Ta 0.923 0.348 0.271 1
Nb1 Nb 0.195 0.297 0.492 1
Nb2 Nb 0.305 0.797 0.102 1
Nb3 Nb 0.695 0.203 0.898 1
Nb4 Nb 0.805 0.703 0.508 1
H1 H 0.068 0.750 0.318 1
H2 H 0.135 0.021 0.155 1
H3 H 0.250 0.750 0.500 1
H4 H 0.365 0.521 0.886 1
H5 H 0.432 0.750 0.682 1
H6 H 0.568 0.250 0.318 1
H7 H 0.635 0.479 0.114 1
H8 H 0.750 0.250 0.500 1
H9 H 0.865 0.979 0.845 1
H10 H 0.932 0.250 0.682 1
```

Summary:
The calculation puts the uncorrected energy at -143.47 eV/cell. As for the space group: Ibam.

=====

Here is a geometry-optimized ErZnBi2 structure from Alexandria via LeMat-Bulk. Energies are from PBE-GGA.

CIF file:
```
data_ErZnBi2
_chemical_formula_sum 'Er1 Zn1 Bi2'
_symmetry_space_group_name_H-M 'P 1'
_symmetry_Int_Tables_number 1
_symmetry_space_group_name_Hall 'P 1'
_cell_length_a 4.950
_cell_length_b 4.950
_cell_length_c 4.279
_cell_angle_alpha 90.00
_cell_angle_beta 90.00
_cell_angle_gamma 90.00
loop_
_atom_site_label
_atom_site_type_symbol
_atom_site_fract_x
_atom_site_fract_y
_atom_site_fract_z
_atom_site_occupancy
Er1 Er 0.000 0.000 0.000 1
Zn1 Zn 0.500 0.500 0.000 1
Bi1 Bi 0.000 0.500 0.500 1
Bi2 Bi 0.500 0.000 0.500 1
```

Summary:
As for the space group: P4/mmm. For the formation energy, the calculation gives -273 meV per atom.

=====

Here is a geometry-optimized Er3Tc8Mo structure from Alexandria via LeMat-Bulk. Energies are from PBE-GGA.

CIF file:
```
data_Er3Tc8Mo
_chemical_formula_sum 'Er3 Tc8 Mo1'
_symmetry_space_group_name_H-M 'P 1'
_symmetry_Int_Tables_number 1
_symmetry_space_group_name_Hall 'P 1'
_cell_length_a 9.191
_cell_length_b 9.191
_cell_length_c 9.191
_cell_angle_alpha 33.55
_cell_angle_beta 33.55
_cell_angle_gamma 33.55
loop_
_atom_site_label
_atom_site_type_symbol
_atom_site_fract_x
_atom_site_fract_y
_atom_site_fract_z
_atom_site_occupancy
Er1 Er 0.000 0.000 0.000 1
Er2 Er 0.127 0.127 0.127 1
Er3 Er 0.502 0.502 0.502 1
Tc1 Tc 0.057 0.563 0.563 1
Tc2 Tc 0.065 0.065 0.569 1
Tc3 Tc 0.065 0.569 0.065 1
Tc4 Tc 0.314 0.314 0.314 1
Tc5 Tc 0.563 0.057 0.563 1
Tc6 Tc 0.563 0.563 0.057 1
Tc7 Tc 0.569 0.065 0.065 1
Tc8 Tc 0.813 0.813 0.813 1
Mo1 Mo 0.626 0.626 0.626 1
```

Summary:
As for the space group: R3m. For the formation energy, the calculation gives -47 meV per atom.